## NdGdSc (PBE)

Data for NdGdSc after structural relaxation.

```
data_NdGdSc
_chemical_formula_sum 'Nd4 Gd4 Sc4'
_cell_length_a 7.5067
_cell_length_b 7.5067
_cell_length_c 7.5067
_cell_angle_alpha 90.00
_cell_angle_beta 90.00
_cell_angle_gamma 90.00
_symmetry_space_group_name_H-M 'F -4 3 m'
_symmetry_Int_Tables_number 216
_symmetry_space_group_name_Hall 'F -4 2 3'
loop_
_atom_site_label
_atom_site_fract_x
_atom_site_fract_y
_atom_site_fract_z
_atom_site_occupancy
Nd1 0.0000 0.0000 0.0000 1
Gd1 0.0000 0.0000 0.5000 1
Sc1 0.2500 0.2500 0.7500 1
```

Results
- E_form: 0.665 eV per atom
- VASP energy: -4.58 eV per atom
- M_tot: 0.030 μB/atom

***

## LiTmCdO3 (PBE)

Data for LiTmCdO3 after structural relaxation.

```
data_LiTmCdO3
_chemical_formula_sum 'Li4 Tm4 Cd4 O12'
_cell_length_a 3.1551
_cell_length_b 14.4323
_cell_length_c 6.8108
_cell_angle_alpha 90.00
_cell_angle_beta 90.00
_cell_angle_gamma 90.00
_symmetry_space_group_name_H-M 'C m c m'
_symmetry_Int_Tables_number 63
_symmetry_space_group_name_Hall '-C 2c 2'
loop_
_atom_site_label
_atom_site_fract_x
_atom_site_fract_y
_atom_site_fract_z
_atom_site_occupancy
Li1 0.0000 0.1262 0.2500 1
Tm1 0.0000 0.0000 0.0000 1
Cd1 0.0000 0.2337 0.7500 1
O1 0.0000 0.1521 0.0081 1
O2 0.0000 0.4897 0.7500 1
```

Results
- VASP energy: -5.53 eV per atom
- M_tot: 0.000 μB/atom

***

## PuF (PBE)

Data for PuF after structural relaxation.

```
data_PuF
_chemical_formula_sum 'Pu4 F4'
_cell_length_a 5.5374
_cell_length_b 5.5374
_cell_length_c 5.5374
_cell_angle_alpha 90.00
_cell_angle_beta 90.00
_cell_angle_gamma 90.00
_symmetry_space_group_name_H-M 'F -4 3 m'
_symmetry_Int_Tables_number 216
_symmetry_space_group_name_Hall 'F -4 2 3'
loop_
_atom_site_label
_atom_site_fract_x
_atom_site_fract_y
_atom_site_fract_z
_atom_site_occupancy
Pu1 0.0000 0.0000 0.0000 1
F1 0.2500 0.2500 0.2500 1
```

Results
- VASP energy: -10.09 eV per atom
- M_tot: 3.307 μB/atom

***

## SrLiHoSe3 (PBE)

Data for SrLiHoSe3 after structural relaxation.

```
data_SrLiHoSe3
_chemical_formula_sum 'Sr4 Li4 Ho4 Se12'
_cell_length_a 4.1531
_cell_length_b 13.5962
_cell_length_c 10.6567
_cell_angle_alpha 90.00
_cell_angle_beta 90.00
_cell_angle_gamma 90.00
_symmetry_space_group_name_H-M 'C m c m'
_symmetry_Int_Tables_number 63
_symmetry_space_group_name_Hall '-C 2c 2'
loop_
_atom_site_label
_atom_site_fract_x
_atom_site_fract_y
_atom_site_fract_z
_atom_site_occupancy
Sr1 0.0000 0.2503 0.2500 1
Li1 0.0000 0.0248 0.7500 1
Ho1 0.0000 0.5000 0.0000 1
Se1 0.0000 0.1365 0.5645 1
Se2 0.0000 0.4211 0.7500 1
```

Results
- VASP energy: -4.90 eV per atom
- M_tot: 0.000 μB/atom

***

## ErLuGe2Ir (PBE)

Data for ErLuGe2Ir after structural relaxation.

```
data_ErLuGe2Ir
_chemical_formula_sum 'Er4 Lu4 Ge8 Ir4'
_cell_length_a 10.3848
_cell_length_b 4.2694
_cell_length_c 10.1858
_cell_angle_alpha 90.00
_cell_angle_beta 116.68
_cell_angle_gamma 90.00
_symmetry_space_group_name_H-M 'C 1 2/m 1'
_symmetry_Int_Tables_number 12
loop_
_symmetry_equiv_pos_as_xyz
'x,y,z'
'-x,-y,-z'
'-x,y,-z'
'x,-y,z'
'x+1/2,y+1/2,z'
'-x+1/2,-y+1/2,-z'
'-x+1/2,y+1/2,-z'
'x+1/2,-y+1/2,z'
loop_
_atom_site_label
_atom_site_fract_x
_atom_site_fract_y
_atom_site_fract_z
_atom_site_occupancy
Er1 0.0078 0.0000 0.3290 1
Lu1 0.1893 0.0000 0.1186 1
Ge1 0.0231 0.5000 0.8857 1
Ge2 0.1460 0.5000 0.5530 1
Ir1 0.2278 0.5000 0.3334 1
```

Results
- VASP energy: -6.35 eV per atom
- M_tot: 0.000 μB/atom

***

## NaNdTe3As (PBE)

Data for NaNdTe3As after structural relaxation.

```
data_NaNdTe3As
_chemical_formula_sum 'Na4 Nd4 Te12 As4'
_cell_length_a 4.4506
_cell_length_b 15.5489
_cell_length_c 10.7793
_cell_angle_alpha 90.00
_cell_angle_beta 90.00
_cell_angle_gamma 90.00
_symmetry_space_group_name_H-M 'C m c m'
_symmetry_Int_Tables_number 63
_symmetry_space_group_name_Hall '-C 2c 2'
loop_
_atom_site_label
_atom_site_fract_x
_atom_site_fract_y
_atom_site_fract_z
_atom_site_occupancy
Na1 0.0000 0.2295 0.2500 1
Nd1 0.0000 0.0000 0.0000 1
Te1 0.0000 0.1195 0.7500 1
Te2 0.0000 0.3564 0.5516 1
As1 0.0000 0.4646 0.7500 1
```

Results
- VASP energy: -4.03 eV per atom
- M_tot: 0.001 μB/atom

***

## Gd3Co (PBE)

Data for Gd3Co after structural relaxation.

```
data_Gd3Co
_chemical_formula_sum 'Gd12 Co4'
_cell_length_a 7.3368
_cell_length_b 7.3368
_cell_length_c 7.3368
_cell_angle_alpha 90.00
_cell_angle_beta 90.00
_cell_angle_gamma 90.00
_symmetry_space_group_name_H-M 'F m -3 m'
_symmetry_Int_Tables_number 225
_symmetry_space_group_name_Hall '-F 4 2 3'
loop_
_atom_site_label
_atom_site_fract_x
_atom_site_fract_y
_atom_site_fract_z
_atom_site_occupancy
Gd1 0.0000 0.0000 0.0000 1
Gd2 0.2500 0.2500 0.2500 1
Co1 0.0000 0.0000 0.5000 1
```

Results
- E_form: 0.350 eV per atom
- VASP energy: -4.92 eV per atom
- M_tot: 0.113 μB/atom

***

## ZrAlFeNi (PBE)

Data for ZrAlFeNi after structural relaxation.

```
data_ZrAlFeNi
_chemical_formula_sum 'Zr4 Al4 Fe4 Ni4'
_cell_length_a 6.0913
_cell_length_b 6.0913
_cell_length_c 6.0913
_cell_angle_alpha 90.00
_cell_angle_beta 90.00
_cell_angle_gamma 90.00
_symmetry_space_group_name_H-M 'F -4 3 m'
_symmetry_Int_Tables_number 216
_symmetry_space_group_name_Hall 'F -4 2 3'
loop_
_atom_site_label
_atom_site_fract_x
_atom_site_fract_y
_atom_site_fract_z
_atom_site_occupancy
Zr1 0.0000 0.0000 0.0000 1
Al1 0.0000 0.0000 0.5000 1
Fe1 0.2500 0.2500 0.7500 1
Ni1 0.2500 0.2500 0.2500 1
```

Results
- VASP energy: -6.96 eV per atom
- M_tot: 0.187 μB/atom

***

## Lu3SiCN (PBE)

Data for Lu3SiCN after structural relaxation.

```
data_Lu3SiCN
_chemical_formula_sum 'Lu6 Si2 C2 N2'
_cell_length_a 3.4104
_cell_length_b 3.4104
_cell_length_c 19.9197
_cell_angle_alpha 90.00
_cell_angle_beta 90.00
_cell_angle_gamma 120.00
_symmetry_space_group_name_H-M 'P -3 m 1'
_symmetry_Int_Tables_number 164
_symmetry_space_group_name_Hall '-P 3 2"'
loop_
_atom_site_label
_atom_site_fract_x
_atom_site_fract_y
_atom_site_fract_z
_atom_site_occupancy
Lu1 0.0000 0.0000 0.0000 1
Lu2 0.0000 0.0000 0.5000 1
Lu3 0.3333 0.6667 0.1333 1
Lu4 0.3333 0.6667 0.3605 1
Si1 0.0000 0.0000 0.2438 1
C1 0.3333 0.6667 0.5757 1
N1 0.3333 0.6667 0.9301 1
```

Results
- VASP energy: -6.95 eV per atom
- M_tot: 0.015 μB/atom

***

## Mg2Zr2AlGa (PBE)

Data for Mg2Zr2AlGa after structural relaxation.

```
data_Mg2Zr2AlGa
_chemical_formula_sum 'Mg2 Zr2 Al1 Ga1'
_cell_length_a 4.6125
_cell_length_b 4.6125
_cell_length_c 6.3943
_cell_angle_alpha 90.00
_cell_angle_beta 90.00
_cell_angle_gamma 120.00
_symmetry_space_group_name_H-M 'P -6 m 2'
_symmetry_Int_Tables_number 187
_symmetry_space_group_name_Hall 'P -6 2'
loop_
_atom_site_label
_atom_site_fract_x
_atom_site_fract_y
_atom_site_fract_z
_atom_site_occupancy
Mg1 0.0000 0.0000 0.0000 1
Mg2 0.3333 0.6667 0.5000 1
Zr1 0.6667 0.3333 0.2536 1
Al1 0.0000 0.0000 0.5000 1
Ga1 0.3333 0.6667 0.0000 1
```

Results
- VASP energy: -4.77 eV per atom
- M_tot: 0.000 μB/atom

***

## BeCoTcAs (PBE)

Data for BeCoTcAs after structural relaxation.

```
data_BeCoTcAs
_chemical_formula_sum 'Be4 Co4 Tc4 As4'
_cell_length_a 5.7303
_cell_length_b 5.7303
_cell_length_c 5.7303
_cell_angle_alpha 90.00
_cell_angle_beta 90.00
_cell_angle_gamma 90.00
_symmetry_space_group_name_H-M 'F -4 3 m'
_symmetry_Int_Tables_number 216
_symmetry_space_group_name_Hall 'F -4 2 3'
loop_
_atom_site_label
_atom_site_fract_x
_atom_site_fract_y
_atom_site_fract_z
_atom_site_occupancy
Be1 0.0000 0.0000 0.0000 1
Co1 0.2500 0.2500 0.7500 1
Tc1 0.2500 0.2500 0.2500 1
As1 0.0000 0.0000 0.5000 1
```

Results
- VASP energy: -6.57 eV per atom
- M_tot: 0.000 μB/atom

***

## CsHg3Au (PBE)

Data for CsHg3Au after structural relaxation.

```
data_CsHg3Au
_chemical_formula_sum 'Cs2 Hg6 Au2'
_cell_length_a 7.5533
_cell_length_b 7.4777
_cell_length_c 6.8273
_cell_angle_alpha 90.00
_cell_angle_beta 123.18
_cell_angle_gamma 90.00
_symmetry_space_group_name_H-M 'C 1 m 1'
_symmetry_Int_Tables_number 8
loop_
_symmetry_equiv_pos_as_xyz
'x,y,z'
'x,-y,z'
'x+1/2,y+1/2,z'
'x+1/2,-y+1/2,z'
loop_
_atom_site_label
_atom_site_fract_x
_atom_site_fract_y
_atom_site_fract_z
_atom_site_occupancy
Cs1 0.0000 0.0000 0.0000 1
Hg1 0.3972 0.0000 0.7955 1
Hg2 0.4960 0.2511 0.4904 1
Au1 0.1479 0.5000 0.2935 1
```

Results
- VASP energy: -1.23 eV per atom

***

## YAgTe3Pb (PBE)

Data for YAgTe3Pb after structural relaxation.

```
data_YAgTe3Pb
_chemical_formula_sum 'Y2 Ag2 Te6 Pb2'
_cell_length_a 8.3566
_cell_length_b 4.3478
_cell_length_c 10.6966
_cell_angle_alpha 90.00
_cell_angle_beta 106.31
_cell_angle_gamma 90.00
_symmetry_space_group_name_H-M 'P 1 21/m 1'
_symmetry_Int_Tables_number 11
loop_
_symmetry_equiv_pos_as_xyz
'x,y,z'
'-x,-y,-z'
'-x,y+1/2,-z'
'x,-y+1/2,z'
loop_
_atom_site_label
_atom_site_fract_x
_atom_site_fract_y
_atom_site_fract_z
_atom_site_occupancy
Y1 0.1957 0.2500 0.1693 1
Ag1 0.4159 0.7500 0.4095 1
Te1 0.0784 0.2500 0.8660 1
Te2 0.2126 0.2500 0.4618 1
Te3 0.4500 0.7500 0.1556 1
Pb1 0.2428 0.7500 0.7031 1
```

Results
- VASP energy: -4.47 eV per atom
- M_tot: 0.001 μB/atom

***

## NdGd2Ga3PtAu2 (PBE)

Data for NdGd2Ga3PtAu2 after structural relaxation.

```
data_NdGd2Ga3PtAu2
_chemical_formula_sum 'Nd2 Gd4 Ga6 Pt2 Au4'
_cell_length_a 3.9375
_cell_length_b 13.0637
_cell_length_c 7.5195
_cell_angle_alpha 90.00
_cell_angle_beta 90.00
_cell_angle_gamma 90.00
_symmetry_space_group_name_H-M 'A m m 2'
_symmetry_Int_Tables_number 38
loop_
_symmetry_equiv_pos_as_xyz
'x,y,z'
'-x,-y,z'
'-x,y,z'
'x,-y,z'
'x,y+1/2,z+1/2'
'-x,-y+1/2,z+1/2'
'-x,y+1/2,z+1/2'
'x,-y+1/2,z+1/2'
loop_
_atom_site_label
_atom_site_fract_x
_atom_site_fract_y
_atom_site_fract_z
_atom_site_occupancy
Nd1 0.0000 0.0000 0.0000 1
Gd1 0.0000 0.2009 0.6053 1
Ga1 0.5000 0.0000 0.6500 1
Ga2 0.5000 0.1234 0.2828 1
Pt1 0.0000 0.0000 0.4096 1
Au1 0.5000 0.1703 0.9031 1
```

Results
- VASP energy: -4.84 eV per atom
- M_tot: 0.000 μB/atom

***

## NaSiBPd (PBE)

Data for NaSiBPd after structural relaxation.

```
data_NaSiBPd
_chemical_formula_sum 'Na4 Si4 B4 Pd4'
_cell_length_a 5.9978
_cell_length_b 5.9978
_cell_length_c 5.9978
_cell_angle_alpha 90.00
_cell_angle_beta 90.00
_cell_angle_gamma 90.00
_symmetry_space_group_name_H-M 'F -4 3 m'
_symmetry_Int_Tables_number 216
_symmetry_space_group_name_Hall 'F -4 2 3'
loop_
_atom_site_label
_atom_site_fract_x
_atom_site_fract_y
_atom_site_fract_z
_atom_site_occupancy
Na1 0.0000 0.0000 0.0000 1
Si1 0.2500 0.2500 0.7500 1
B1 0.2500 0.2500 0.2500 1
Pd1 0.0000 0.0000 0.5000 1
```

Results
- VASP energy: -4.08 eV per atom

***

## AlCuI6 (PBE)

Data for AlCuI6 after structural relaxation.

```
data_AlCuI6
_chemical_formula_sum 'Al4 Cu4 I24'
_cell_length_a 10.9088
_cell_length_b 10.9088
_cell_length_c 10.9088
_cell_angle_alpha 90.00
_cell_angle_beta 90.00
_cell_angle_gamma 90.00
_symmetry_space_group_name_H-M 'F -4 3 m'
_symmetry_Int_Tables_number 216
_symmetry_space_group_name_Hall 'F -4 2 3'
loop_
_atom_site_label
_atom_site_fract_x
_atom_site_fract_y
_atom_site_fract_z
_atom_site_occupancy
Al1 0.0000 0.0000 0.0000 1
Cu1 0.2500 0.2500 0.7500 1
I1 0.0000 0.0000 0.2476 1
```

Results
- VASP energy: -1.95 eV per atom

***

## ScGa2Cu5 (PBE)

Data for ScGa2Cu5 after structural relaxation.

```
data_ScGa2Cu5
_chemical_formula_sum 'Sc1 Ga2 Cu5'
_cell_length_a 4.2748
_cell_length_b 4.2748
_cell_length_c 6.0043
_cell_angle_alpha 90.00
_cell_angle_beta 90.00
_cell_angle_gamma 90.00
_symmetry_space_group_name_H-M 'P 4/m m m'
_symmetry_Int_Tables_number 123
_symmetry_space_group_name_Hall '-P 4 2'
loop_
_atom_site_label
_atom_site_fract_x
_atom_site_fract_y
_atom_site_fract_z
_atom_site_occupancy
Sc1 0.0000 0.0000 0.0000 1
Ga1 0.0000 0.0000 0.5000 1
Ga2 0.5000 0.5000 0.0000 1
Cu1 0.0000 0.5000 0.2684 1
Cu2 0.5000 0.5000 0.5000 1
```

Results
- VASP energy: -4.06 eV per atom
- M_tot: 0.000 μB/atom

***

## Lu2Bi2O5 (PBE)

Data for Lu2Bi2O5 after structural relaxation.

```
data_Lu2Bi2O5
_chemical_formula_sum 'Lu2 Bi2 O5'
_cell_length_a 4.1834
_cell_length_b 4.1834
_cell_length_c 8.0069
_cell_angle_alpha 90.00
_cell_angle_beta 90.00
_cell_angle_gamma 90.00
_symmetry_space_group_name_H-M 'P 4/m m m'
_symmetry_Int_Tables_number 123
_symmetry_space_group_name_Hall '-P 4 2'
loop_
_atom_site_label
_atom_site_fract_x
_atom_site_fract_y
_atom_site_fract_z
_atom_site_occupancy
Lu1 0.0000 0.0000 0.0000 1
Lu2 0.0000 0.0000 0.5000 1
Bi1 0.5000 0.5000 0.2295 1
O1 0.0000 0.5000 0.3120 1
O2 0.5000 0.5000 0.5000 1
```

Results
- VASP energy: -5.94 eV per atom
- M_tot: 0.000 μB/atom

***

## ScZnCoB (PBE)

Data for ScZnCoB after structural relaxation.

```
data_ScZnCoB
_chemical_formula_sum 'Sc4 Zn4 Co4 B4'
_cell_length_a 5.8134
_cell_length_b 5.8134
_cell_length_c 5.8134
_cell_angle_alpha 90.00
_cell_angle_beta 90.00
_cell_angle_gamma 90.00
_symmetry_space_group_name_H-M 'F -4 3 m'
_symmetry_Int_Tables_number 216
_symmetry_space_group_name_Hall 'F -4 2 3'
loop_
_atom_site_label
_atom_site_fract_x
_atom_site_fract_y
_atom_site_fract_z
_atom_site_occupancy
Sc1 0.0000 0.0000 0.0000 1
Zn1 0.2500 0.2500 0.7500 1
Co1 0.2500 0.2500 0.2500 1
B1 0.0000 0.0000 0.5000 1
```

Results
- VASP energy: -5.08 eV per atom
- M_tot: 0.002 μB/atom

***

## RbU2Se5 (PBE)

Data for RbU2Se5 after structural relaxation.

```
data_RbU2Se5
_chemical_formula_sum 'Rb2 U4 Se10'
_cell_length_a 4.3419
_cell_length_b 7.1444
_cell_length_c 14.8067
_cell_angle_alpha 90.00
_cell_angle_beta 90.00
_cell_angle_gamma 90.00
_symmetry_space_group_name_H-M 'I m m m'
_symmetry_Int_Tables_number 71
_symmetry_space_group_name_Hall '-I 2 2'
loop_
_atom_site_label
_atom_site_fract_x
_atom_site_fract_y
_atom_site_fract_z
_atom_site_occupancy
Rb1 0.0000 0.0000 0.0000 1
U1 0.0000 0.5000 0.1859 1
Se1 0.0000 0.2538 0.3426 1
Se2 0.0000 0.5000 0.0000 1
```

Results
- VASP energy: -6.29 eV per atom
- M_tot: 0.375 μB/atom